Record 1
! YTlCd2 (meta-GGA SCAN, single point on PBEsol structure); values from VASP
&SYSTEM
  ibrav = 0, nat = 4, ntyp = 3
/
ATOMIC_SPECIES
Y 88.91 Y.upf
Tl 204.38 Tl.upf
Cd 112.41 Cd.upf
CELL_PARAMETERS angstrom
1.697 0.980 9.922
-1.697 0.980 9.922
0.000 -1.959 9.922
ATOMIC_POSITIONS crystal
Y 0.000 0.000 0.000
Tl 0.245 0.245 0.245
Cd 0.496 0.496 0.496
Cd 0.752 0.752 0.752
! Calculated volume   99.0 Å³ per cell
! E above lowest polymorph   326 meV per atom
! Magnetization   0.0 μB per formula unit
! Total DFT energy (no corrections)   -40.315 eV per atom
! ΔE_f   -0.2 eV per formula unit

---

Record 2
! ZrTcSe2 (meta-GGA SCAN, single point on PBEsol structure); values from VASP
&SYSTEM
  ibrav = 0, nat = 4, ntyp = 3
/
ATOMIC_SPECIES
Zr 91.22 Zr.upf
Tc 98.00 Tc.upf
Se 78.96 Se.upf
CELL_PARAMETERS angstrom
3.761 -1.619 0.000
3.761 1.619 0.000
-1.270 0.000 5.708
ATOMIC_POSITIONS crystal
Zr 0.000 0.000 0.000
Tc 0.500 0.500 0.500
Se 0.244 0.244 0.720
Se 0.756 0.756 0.280
! Calculated volume   69.5 Å³ per cell
! E above lowest polymorph   92 meV per atom
! Magnetization   0.0 μB per formula unit
! Total DFT energy (no corrections)   -26.909 eV per atom

---

Record 3
! Tl3AsS4 (meta-GGA SCAN, single point on PBEsol structure); values from VASP
&SYSTEM
  ibrav = 0, nat = 32, ntyp = 3
/
ATOMIC_SPECIES
Tl 204.38 Tl.upf
As 74.92 As.upf
S 32.06 S.upf
CELL_PARAMETERS angstrom
8.775 0.000 0.000
0.000 10.591 0.000
0.000 0.000 8.998
ATOMIC_POSITIONS crystal
Tl 0.066 0.048 0.194
Tl 0.066 0.452 0.194
Tl 0.112 0.750 0.390
Tl 0.388 0.250 0.890
Tl 0.434 0.548 0.694
Tl 0.434 0.952 0.694
Tl 0.566 0.048 0.306
Tl 0.566 0.452 0.306
Tl 0.612 0.750 0.110
Tl 0.888 0.250 0.610
Tl 0.934 0.548 0.806
Tl 0.934 0.952 0.806
As 0.219 0.750 0.973
As 0.281 0.250 0.473
As 0.719 0.750 0.527
As 0.781 0.250 0.027
S 0.010 0.250 0.930
S 0.152 0.082 0.534
S 0.152 0.418 0.534
S 0.191 0.750 0.729
S 0.309 0.250 0.229
S 0.348 0.582 0.034
S 0.348 0.918 0.034
S 0.490 0.750 0.430
S 0.510 0.250 0.570
S 0.652 0.082 0.966
S 0.652 0.418 0.966
S 0.691 0.750 0.771
S 0.809 0.250 0.271
S 0.848 0.582 0.466
S 0.848 0.918 0.466
S 0.990 0.750 0.070
! Calculated volume   836.2 Å³ per cell
! Magnetization   0.0 μB per formula unit
! Total DFT energy (no corrections)   -34.821 eV per atom

---

Record 4
! Tc3PO (meta-GGA SCAN, single point on PBEsol structure); values from VASP
&SYSTEM
  ibrav = 0, nat = 5, ntyp = 3
/
ATOMIC_SPECIES
Tc 98.00 Tc.upf
P 30.97 P.upf
O 16.00 O.upf
CELL_PARAMETERS angstrom
4.306 0.000 0.000
0.000 4.306 0.000
0.000 0.000 4.306
ATOMIC_POSITIONS crystal
Tc 0.000 0.000 0.500
Tc 0.000 0.500 0.000
Tc 0.500 0.000 0.000
P 0.000 0.000 0.000
O 0.500 0.500 0.500
! Calculated volume   79.8 Å³ per cell
! Magnetization   2.2 μB per formula unit
! Total DFT energy (no corrections)   -23.015 eV per atom

---

Record 5
! HfAl2BiRu (meta-GGA SCAN, single point on PBEsol structure); values from VASP
&SYSTEM
  ibrav = 0, nat = 5, ntyp = 4
/
ATOMIC_SPECIES
Hf 178.49 Hf.upf
Al 26.98 Al.upf
Bi 208.98 Bi.upf
Ru 101.07 Ru.upf
CELL_PARAMETERS angstrom
5.049 0.000 0.000
0.000 5.049 0.000
0.000 0.000 5.361
ATOMIC_POSITIONS crystal
Hf 0.000 0.000 0.000
Al 0.000 0.500 0.000
Al 0.500 0.000 0.000
Bi 0.000 0.000 0.500
Ru 0.500 0.500 0.500
! Calculated volume   136.7 Å³ per cell
! Magnetization   2.3 μB per formula unit
! Total DFT energy (no corrections)   -36.899 eV per atom
! ΔE_f   7.1 eV per formula unit

---

Record 6
! Mg2ScZn (meta-GGA SCAN, single point on PBEsol structure); values from VASP
&SYSTEM
  ibrav = 0, nat = 4, ntyp = 3
/
ATOMIC_SPECIES
Mg 24.30 Mg.upf
Sc 44.96 Sc.upf
Zn 65.41 Zn.upf
CELL_PARAMETERS angstrom
0.000 3.374 3.374
3.374 0.000 3.374
3.374 3.374 0.000
ATOMIC_POSITIONS crystal
Mg 0.000 0.000 0.000
Mg 0.250 0.250 0.250
Sc 0.750 0.750 0.750
Zn 0.500 0.500 0.500
! Calculated volume   76.8 Å³ per cell
! Magnetization   0.0 μB per formula unit
! Total DFT energy (no corrections)   -9.596 eV per atom
! ΔE_f   -0.7 eV per formula unit

---

Copy entry 2 word for word.
! ZrTcSe2 (meta-GGA SCAN, single point on PBEsol structure); values from VASP
&SYSTEM
  ibrav = 0, nat = 4, ntyp = 3
/
ATOMIC_SPECIES
Zr 91.22 Zr.upf
Tc 98.00 Tc.upf
Se 78.96 Se.upf
CELL_PARAMETERS angstrom
3.761 -1.619 0.000
3.761 1.619 0.000
-1.270 0.000 5.708
ATOMIC_POSITIONS crystal
Zr 0.000 0.000 0.000
Tc 0.500 0.500 0.500
Se 0.244 0.244 0.720
Se 0.756 0.756 0.280
! Calculated volume   69.5 Å³ per cell
! E above lowest polymorph   92 meV per atom
! Magnetization   0.0 μB per formula unit
! Total DFT energy (no corrections)   -26.909 eV per atom

---

> Among the records above, which one has the lowest total DFT energy (no corrections)?

YTlCd2